Entry 1:
A plane-wave DFT calculation with PBE was carried out for a relaxed structure of NdPaPt2O8.

Lattice parameters (Å, degrees): 6.172 6.172 6.172 109.42 109.42 109.57
Sites, in units of the cell vectors:
O 0.725 0.043 0.682
O 0.282 0.448 0.165
O 0.282 0.117 0.835
O 0.957 0.275 0.318
O 0.552 0.718 0.835
O 0.957 0.638 0.682
O 0.883 0.718 0.165
O 0.362 0.043 0.318
Nd 0.250 0.750 0.500
Pa 0.000 0.000 0.000
Pt 0.750 0.250 0.500
Pt 0.500 0.500 0.000

Results
volume	181	Å³ per cell
mass density	8.196	Mg/m³
formation energy from raw total energies	-1.707	eV per atom
space group	I-4m2, No. 119

=====

Entry 2:
A plane-wave DFT calculation with PBE was carried out for a relaxed structure of NbSiPS2.

Lattice parameters (Å, degrees): 4.709 4.709 5.044 90.00 90.00 90.00
Sites, in units of the cell vectors:
S 0.000 0.500 0.000
S 0.500 0.000 0.000
Nb 0.000 0.000 0.000
P 0.000 0.000 0.500
Si 0.500 0.500 0.500

Results
volume	112	Å³ per cell
mass density	3.208	Mg/m³
formation energy from raw total energies	0.322	eV per atom
space group	P4/mmm, No. 123
relative energy among the computed polymorphs	0	meV per atom

=====

Entry 3:
A plane-wave DFT calculation with PBE was carried out for a relaxed structure of AcAsRhN.

Lattice parameters (Å, degrees): 4.099 4.099 8.773 90.00 90.00 90.00
Sites, in units of the cell vectors:
N 0.000 0.500 0.126
N 0.500 0.000 0.874
Ac 0.000 0.500 0.840
Ac 0.500 0.000 0.160
Rh 0.500 0.500 0.500
Rh 0.000 0.000 0.500
As 0.500 0.000 0.656
As 0.000 0.500 0.344

Results
volume	147	Å³ per cell
mass density	9.436	Mg/m³
formation energy from raw total energies	-0.879	eV per atom
space group	P4/nmm, No. 129

=====

Entry 4:
A plane-wave DFT calculation with PBE was carried out for a relaxed structure of Sr2CoMo.

Lattice parameters (Å, degrees): 10.100 10.100 10.100 18.94 18.94 18.94
Last column: magnetic moment on the atom in μB.
Sites, in units of the cell vectors:
Sr 0.506 0.506 0.506  -0.06
Sr 0.994 0.994 0.994  -0.06
Co 0.250 0.250 0.250  1.29
Mo 0.750 0.750 0.750  -0.11

Results
volume	95	Å³ per cell
mass density	5.780	Mg/m³
space group	R-3m, No. 166
relative energy among the computed polymorphs	701	meV per atom